12
Lattice="5.6978 0.0000 0.8516 0.0000 6.7733 0.0000 0.3700 -3.3866 5.9380" Properties=species:S:1:pos:R:3 comment="Tb3IBr2O6 (PBE, optimized geometry)" space_group="No. 12" e_form_raw_ev_per_atom=-1.913 pbc="T T T"
O 2.0073 1.6856 5.4623
O 4.0605 5.0722 1.3273
O 2.0816 0.0000 2.3457
O 3.9862 3.3867 4.4439
O 2.0073 -1.6856 5.4623
O 4.0605 1.7011 1.3273
Br 0.9344 3.3866 2.6481
Br 5.1333 0.0000 4.1414
Tb 3.0339 -1.6933 3.3948
Tb 0.0000 3.3866 0.0000
Tb 3.0339 1.6933 3.3948
I 2.8489 0.0000 0.4258